Below is HfFeAs2Br after structural relaxation, with properties calculated at the PBE level.

Calculated values
The value obtained for the density of states at the Fermi level is 4.28 states/eV/cell. The calculation puts the volume at 102.19 Å³/cell. The uncorrected formation energy comes out at 0.4314 eV/atom. As for the crystal system: tetragonal.

a = 4.5771 Å, b = 4.5771 Å, c = 4.8780 Å
α = 90.00°, β = 90.00°, γ = 90.00°
With the nearest neighbours (Å) after each atom.
Sites, in units of the cell vectors:
Br 0.0000 0.0000 0.5000  2 Fe 2.44
Hf 0.5000 0.5000 0.5000  4 Br 3.24, 8 As 3.34
As 0.5000 0.0000 0.0000  2 Fe 2.29
As 0.0000 0.5000 0.0000  2 Fe 2.29
Fe 0.0000 0.0000 0.0000  4 As 2.29, 2 Br 2.44

Below is HfFeAs2Br after structural relaxation, with properties calculated at the PBE level.

Calculated values
The value obtained for the density of states at the Fermi level is 7.46 states/eV/cell. The calculation puts the volume at 138.63 Å³/cell. The uncorrected formation energy comes out at 0.5080 eV/atom. As for the crystal system: tetragonal.

a = 5.1851 Å, b = 5.1851 Å, c = 5.1564 Å
α = 90.00°, β = 90.00°, γ = 90.00°
With the nearest neighbours (Å) after each atom.
Sites, in units of the cell vectors:
As 0.0000 0.5000 0.0000  2 Hf 2.59
As 0.5000 0.0000 0.0000  2 Hf 2.59
Fe 0.5000 0.5000 0.5000  8 As 3.66, 4 Br 3.67
Br 0.0000 0.0000 0.5000  2 Hf 2.58
Hf 0.0000 0.0000 0.0000  2 Br 2.58, 4 As 2.59

Below is FeHgAsBr2 after structural relaxation, with properties calculated at the PBE level.

Calculated values
The value obtained for the density of states at the Fermi level is 7.65 states/eV/cell. The calculation puts the volume at 118.60 Å³/cell. The uncorrected formation energy comes out at 0.2411 eV/atom. As for the crystal system: tetragonal.

a = 5.1237 Å, b = 5.1237 Å, c = 4.5179 Å
α = 90.00°, β = 90.00°, γ = 90.00°
With the nearest neighbours (Å) after each atom.
Sites, in units of the cell vectors:
Hg 0.5000 0.5000 0.5000  8 Br 3.42, 4 As 3.62
Fe 0.0000 0.0000 0.0000  2 As 2.26
Br 0.0000 0.5000 0.0000  2 Fe 2.56
Br 0.5000 0.0000 0.0000  2 Fe 2.56
As 0.0000 0.0000 0.5000  2 Fe 2.26

Below is FeHgAs2Br after structural relaxation, with properties calculated at the PBE level.

Calculated values
The value obtained for the density of states at the Fermi level is 3.82 states/eV/cell. The calculation puts the volume at 112.72 Å³/cell. The uncorrected formation energy comes out at 0.3021 eV/atom. As for the crystal system: tetragonal.

a = 4.5504 Å, b = 4.5504 Å, c = 5.4437 Å
α = 90.00°, β = 90.00°, γ = 90.00°
With the nearest neighbours (Å) after each atom.
Sites, in units of the cell vectors:
As 0.0000 0.5000 0.0000  2 Fe 2.28
As 0.5000 0.0000 0.0000  2 Fe 2.28
Fe 0.0000 0.0000 0.0000  4 As 2.28
Br 0.0000 0.0000 0.5000  2 Fe 2.72
Hg 0.5000 0.5000 0.5000  4 Br 3.22, 8 As 3.55

Below is FeAs2IBr after structural relaxation, with properties calculated at the PBE level.

Calculated values
The value obtained for the density of states at the Fermi level is 4.04 states/eV/cell. The calculation puts the volume at 114.09 Å³/cell. The uncorrected formation energy comes out at 0.3612 eV/atom. As for the crystal system: tetragonal.

a = 4.7999 Å, b = 4.7999 Å, c = 4.9519 Å
α = 90.00°, β = 90.00°, γ = 90.00°
With the nearest neighbours (Å) after each atom.
Sites, in units of the cell vectors:
As 0.0000 0.5000 0.0000  2 Fe 2.40
As 0.5000 0.0000 0.0000  2 Fe 2.40
I 0.5000 0.5000 0.5000  4 Br 3.39, 8 As 3.45
Br 0.0000 0.0000 0.5000  2 Fe 2.48
Fe 0.0000 0.0000 0.0000  4 As 2.40, 2 Br 2.48

Below is InFeAs2Br after structural relaxation, with properties calculated at the PBE level.

Calculated values
The value obtained for the density of states at the Fermi level is 8.15 states/eV/cell. The calculation puts the volume at 147.62 Å³/cell. The uncorrected formation energy comes out at 1.0967 eV/atom. As for the crystal system: tetragonal.

a = 5.2227 Å, b = 5.2227 Å, c = 5.4118 Å
α = 90.00°, β = 90.00°, γ = 90.00°
With the nearest neighbours (Å) after each atom.
Sites, in units of the cell vectors:
Br 0.0000 0.0000 0.5000  2 In 2.71
As 0.5000 0.0000 0.0000  2 In 2.61
As 0.0000 0.5000 0.0000  2 In 2.61
Fe 0.5000 0.5000 0.5000  4 Br 3.69, 8 As 3.76
In 0.0000 0.0000 0.0000  4 As 2.61, 2 Br 2.71

Below is InFeAs2Br after structural relaxation, with properties calculated at the PBE level.

Calculated values
The value obtained for the density of states at the Fermi level is 3.02 states/eV/cell. The calculation puts the volume at 128.65 Å³/cell. The uncorrected formation energy comes out at 0.1662 eV/atom. As for the crystal system: tetragonal.

a = 4.5295 Å, b = 6.2704 Å, c = 4.5295 Å
α = 90.00°, β = 90.00°, γ = 90.00°
With the nearest neighbours (Å) after each atom.
Sites, in units of the cell vectors:
Fe 0.0000 0.0000 0.0000  4 As 2.26
Br 0.0000 0.5000 0.0000  2 Fe 3.14, 4 In 3.20
As 0.5000 0.0000 0.0000  2 Fe 2.26
As 0.0000 0.0000 0.5000  2 Fe 2.26
In 0.5000 0.5000 0.5000  4 Br 3.20

Below is FeAs2IrBr after structural relaxation, with properties calculated at the PBE level.

Calculated values
The value obtained for the density of states at the Fermi level is 7.91 states/eV/cell. The calculation puts the volume at 120.86 Å³/cell. The uncorrected formation energy comes out at 0.9204 eV/atom. As for the crystal system: tetragonal.

a = 4.7553 Å, b = 4.7553 Å, c = 5.3448 Å
α = 90.00°, β = 90.00°, γ = 90.00°
With the nearest neighbours (Å) after each atom.
Sites, in units of the cell vectors:
Ir 0.0000 0.0000 0.0000  4 As 2.38
Fe 0.5000 0.5000 0.5000  4 Br 3.36, 8 As 3.58
Br 0.0000 0.0000 0.5000  2 Ir 2.67
As 0.0000 0.5000 0.0000  2 Ir 2.38
As 0.5000 0.0000 0.0000  2 Ir 2.38

Below is KFeAsBr2 after structural relaxation, with properties calculated at the PBE level.

Calculated values
The value obtained for the density of states at the Fermi level is 6.94 states/eV/cell. The calculation puts the volume at 214.32 Å³/cell. The uncorrected formation energy comes out at 0.8580 eV/atom. As for the crystal system: tetragonal.

a = 5.9485 Å, b = 5.9485 Å, c = 6.0567 Å
α = 90.00°, β = 90.00°, γ = 90.00°
With the nearest neighbours (Å) after each atom.
Sites, in units of the cell vectors:
Br 0.5000 0.0000 0.0000  2 K 2.97
Br 0.0000 0.5000 0.0000  2 K 2.97
Fe 0.5000 0.5000 0.5000  4 As 4.21, 8 Br 4.24
As 0.0000 0.0000 0.5000  2 K 3.03
K 0.0000 0.0000 0.0000  4 Br 2.97, 2 As 3.03

Below is KFeAsBr2 after structural relaxation, with properties calculated at the PBE level.

Calculated values
The value obtained for the density of states at the Fermi level is 4.38 states/eV/cell. The calculation puts the volume at 136.53 Å³/cell. The uncorrected formation energy comes out at -0.4177 eV/atom. As for the crystal system: tetragonal.

a = 5.4968 Å, b = 5.4968 Å, c = 4.5186 Å
α = 90.00°, β = 90.00°, γ = 90.00°
With the nearest neighbours (Å) after each atom.
Sites, in units of the cell vectors:
As 0.0000 0.0000 0.5000  2 Fe 2.26
K 0.5000 0.5000 0.5000  8 Br 3.56, 4 As 3.89
Br 0.0000 0.5000 0.0000  2 Fe 2.75
Br 0.5000 0.0000 0.0000  2 Fe 2.75
Fe 0.0000 0.0000 0.0000  2 As 2.26

Below is LiFeAsBr2 after structural relaxation, with properties calculated at the PBE level.

Calculated values
The value obtained for the density of states at the Fermi level is 3.96 states/eV/cell. The calculation puts the volume at 127.95 Å³/cell. The uncorrected formation energy comes out at -0.1456 eV/atom. As for the crystal system: tetragonal.

a = 5.3503 Å, b = 5.3503 Å, c = 4.4700 Å
α = 90.00°, β = 90.00°, γ = 90.00°
With the nearest neighbours (Å) after each atom.
Sites, in units of the cell vectors:
Fe 0.0000 0.0000 0.0000  2 As 2.23
As 0.0000 0.0000 0.5000  2 Fe 2.23
Br 0.5000 0.0000 0.0000  2 Fe 2.68
Br 0.0000 0.5000 0.0000  2 Fe 2.68
Li 0.5000 0.5000 0.5000  8 Br 3.49, 4 As 3.78

Below is MgFeAs2Br after structural relaxation, with properties calculated at the PBE level.

Calculated values
The value obtained for the density of states at the Fermi level is 4.02 states/eV/cell. The calculation puts the volume at 111.77 Å³/cell. The uncorrected formation energy comes out at 0.1593 eV/atom. As for the crystal system: tetragonal.

a = 4.4861 Å, b = 4.4861 Å, c = 5.5538 Å
α = 90.00°, β = 90.00°, γ = 90.00°
With the nearest neighbours (Å) after each atom.
Sites, in units of the cell vectors:
Fe 0.0000 0.0000 0.0000  4 As 2.24
Mg 0.5000 0.5000 0.5000  4 Br 3.17
As 0.5000 0.0000 0.0000  2 Fe 2.24
As 0.0000 0.5000 0.0000  2 Fe 2.24
Br 0.0000 0.0000 0.5000  2 Fe 2.78

Below is MnFeAs2Br after structural relaxation, with properties calculated at the PBE level.

Calculated values
The value obtained for the density of states at the Fermi level is 5.03 states/eV/cell. The calculation puts the volume at 107.96 Å³/cell. The uncorrected formation energy comes out at 0.5236 eV/atom. As for the crystal system: tetragonal.

a = 4.4827 Å, b = 4.4827 Å, c = 5.3725 Å
α = 90.00°, β = 90.00°, γ = 90.00°
With the nearest neighbours (Å) after each atom.
Sites, in units of the cell vectors:
Mn 0.5000 0.5000 0.5000  4 Br 3.17, 8 As 3.50
As 0.5000 0.0000 0.0000  2 Fe 2.24
As 0.0000 0.5000 0.0000  2 Fe 2.24
Fe 0.0000 0.0000 0.0000  4 As 2.24
Br 0.0000 0.0000 0.5000  2 Fe 2.69

Below is FeMoAsBr2 after structural relaxation, with properties calculated at the PBE level.

Calculated values
The value obtained for the density of states at the Fermi level is 9.44 states/eV/cell. The calculation puts the volume at 135.85 Å³/cell. The uncorrected formation energy comes out at 0.8248 eV/atom. As for the crystal system: tetragonal.

a = 5.2495 Å, b = 5.2495 Å, c = 4.9299 Å
α = 90.00°, β = 90.00°, γ = 90.00°
With the nearest neighbours (Å) after each atom.
Sites, in units of the cell vectors:
Fe 0.5000 0.5000 0.5000  8 Br 3.60, 4 As 3.71
Br 0.0000 0.5000 0.0000  2 Mo 2.62
Br 0.5000 0.0000 0.0000  2 Mo 2.62
Mo 0.0000 0.0000 0.0000  2 As 2.46, 4 Br 2.62
As 0.0000 0.0000 0.5000  2 Mo 2.46

Below is FeMoAsBr2 after structural relaxation, with properties calculated at the PBE level.

Calculated values
The value obtained for the density of states at the Fermi level is 5.73 states/eV/cell. The calculation puts the volume at 119.91 Å³/cell. The uncorrected formation energy comes out at 0.8965 eV/atom. As for the crystal system: tetragonal.

a = 5.1165 Å, b = 5.1165 Å, c = 4.5805 Å
α = 90.00°, β = 90.00°, γ = 90.00°
With the nearest neighbours (Å) after each atom.
Sites, in units of the cell vectors:
As 0.0000 0.0000 0.5000  2 Fe 2.29
Br 0.5000 0.0000 0.0000  2 Fe 2.56
Br 0.0000 0.5000 0.0000  2 Fe 2.56
Mo 0.5000 0.5000 0.5000  8 Br 3.43, 4 As 3.62
Fe 0.0000 0.0000 0.0000  2 As 2.29, 4 Br 2.56

Below is FeAs2BrN after structural relaxation, with properties calculated at the PBE level.

Calculated values
The value obtained for the density of states at the Fermi level is 2.99 states/eV/cell. The calculation puts the volume at 106.03 Å³/cell. The uncorrected formation energy comes out at 1.2699 eV/atom. As for the crystal system: tetragonal.

a = 4.4706 Å, b = 4.4706 Å, c = 5.3050 Å
α = 90.00°, β = 90.00°, γ = 90.00°
With the nearest neighbours (Å) after each atom.
Sites, in units of the cell vectors:
N 0.5000 0.5000 0.5000  4 Br 3.16, 8 As 3.47
As 0.0000 0.5000 0.0000  2 Fe 2.24
As 0.5000 0.0000 0.0000  2 Fe 2.24
Br 0.0000 0.0000 0.5000  2 Fe 2.65
Fe 0.0000 0.0000 0.0000  4 As 2.24

Below is FeAsBr2N after structural relaxation, with properties calculated at the PBE level.

Calculated values
The value obtained for the density of states at the Fermi level is 8.22 states/eV/cell. The calculation puts the volume at 103.08 Å³/cell. The uncorrected formation energy comes out at 1.5333 eV/atom. As for the crystal system: tetragonal.

a = 4.7985 Å, b = 4.7985 Å, c = 4.4767 Å
α = 90.00°, β = 90.00°, γ = 90.00°
With the nearest neighbours (Å) after each atom.
Sites, in units of the cell vectors:
As 0.0000 0.0000 0.5000  2 Fe 2.24
Br 0.0000 0.5000 0.0000  2 Fe 2.40
Br 0.5000 0.0000 0.0000  2 Fe 2.40
N 0.5000 0.5000 0.5000  8 Br 3.28, 4 As 3.39
Fe 0.0000 0.0000 0.0000  2 As 2.24, 4 Br 2.40

Below is FeAsBr2N after structural relaxation, with properties calculated at the PBE level.

Calculated values
The value obtained for the density of states at the Fermi level is 3.92 states/eV/cell. The calculation puts the volume at 93.91 Å³/cell. The uncorrected formation energy comes out at 1.2959 eV/atom. As for the crystal system: tetragonal.

a = 4.4919 Å, b = 4.4919 Å, c = 4.6544 Å
α = 90.00°, β = 90.00°, γ = 90.00°
With the nearest neighbours (Å) after each atom.
Sites, in units of the cell vectors:
N 0.0000 0.0000 0.0000  4 Br 2.25, 2 As 2.33
Br 0.0000 0.5000 0.0000  2 N 2.25
Br 0.5000 0.0000 0.0000  2 N 2.25
Fe 0.5000 0.5000 0.5000  4 As 3.18, 8 Br 3.23
As 0.0000 0.0000 0.5000  2 N 2.33

Below is FeAs2BrN after structural relaxation, with properties calculated at the PBE level.

Calculated values
The value obtained for the density of states at the Fermi level is 4.41 states/eV/cell. The calculation puts the volume at 86.43 Å³/cell. The uncorrected formation energy comes out at 1.1485 eV/atom. As for the crystal system: tetragonal.

a = 4.2880 Å, b = 4.2880 Å, c = 4.7008 Å
α = 90.00°, β = 90.00°, γ = 90.00°
With the nearest neighbours (Å) after each atom.
Sites, in units of the cell vectors:
Fe 0.5000 0.5000 0.5000  4 Br 3.03, 8 As 3.18
Br 0.0000 0.0000 0.5000  2 N 2.35
As 0.0000 0.5000 0.0000  2 N 2.14
As 0.5000 0.0000 0.0000  2 N 2.14
N 0.0000 0.0000 0.0000  4 As 2.14, 2 Br 2.35

Below is NaFeAs2Br after structural relaxation, with properties calculated at the PBE level.

Calculated values
The value obtained for the density of states at the Fermi level is 2.03 states/eV/cell. The calculation puts the volume at 132.65 Å³/cell. The uncorrected formation energy comes out at -0.1519 eV/atom. As for the crystal system: tetragonal.

a = 4.4321 Å, b = 4.4321 Å, c = 6.7532 Å
α = 90.00°, β = 90.00°, γ = 90.00°
With the nearest neighbours (Å) after each atom.
Sites, in units of the cell vectors:
Fe 0.0000 0.0000 0.0000  4 As 2.22
As 0.5000 0.0000 0.0000  2 Fe 2.22
As 0.0000 0.5000 0.0000  2 Fe 2.22
Na 0.5000 0.5000 0.5000  4 Br 3.13
Br 0.0000 0.0000 0.5000  4 Na 3.13, 2 Fe 3.38

no.,calculated density (g/cm³)
1,7.54
2,5.56
3,6.88
4,7.16
5,6.00
6,4.50
7,5.17
8,6.56
9,2.55
10,4.01
11,3.86
12,4.60
13,5.24
14,4.72
15,5.35
16,4.69
17,4.91
18,5.39
19,5.76
20,3.86